## CrTeRh (GGA-PBEsol)

Data for a geometry-optimized CrTeRh structure.

a = 3.5592 Å, b = 3.5610 Å, c = 4.6845 Å
α = 112.34°, β = 112.33°, γ = 90.00°
Closest atoms and distances in Å follow each position.
Atoms (fractional coordinates):
1 Te 0.3337 0.3337 0.6673  5 Rh 2.57-2.87, 5 Cr 2.57-2.87
2 Rh 0.6585 0.6585 0.3170  5 Te 2.57-2.87, 5 Cr 2.76-2.78
3 Cr 0.0078 0.0078 0.0156  5 Te 2.57-2.87, 5 Rh 2.76-2.78

Output
E: -21.27 eV/cell
spin magnetization: 3.25 Bohr magnetons per cell
space group: I4mm
raw formation energy: 0.64 eV/f.u.